Compound: TmTeAs
Source: Alexandria via LeMat-Bulk
Functional: PBE-GGA
Structure: optimized geometry

Cell lengths 4.3680, 4.3680, 11.8219 Å; angles 79.35, 79.35, 60.00 degrees
Last column: nearest neighbours and their distance in Å.
Element x y z (fractional)
Te1 0.7249 0.7249 0.8252  3 Tm 2.99
Te2 0.2751 0.2751 0.1748  3 Tm 2.99
Tm1 0.5619 0.5619 0.3143  3 Te 2.99, 3 As 3.15
Tm2 0.4381 0.4381 0.6857  3 Te 2.99, 3 As 3.15
As1 0.8406 0.8406 0.4783  3 As 2.57
As2 0.1594 0.1594 0.5217  3 As 2.57

Formation energy from raw total energies in eV/atom: -0.818
D(E_F) in states/eV per cell: 0.9
M_tot in μB per formula unit: 0.000
Total energy in eV/atom: -4.906
Theoretical density in Mg/m³: 6.46